Below is an optimized crystal structure of RbSc2Ni, with properties calculated at the GGA-PBE level.

Calculated values
- ΔE to the lowest computed polymorph: 557 meV per atom
- Formation enthalpy at 0 K: 0.6972 eV/atom
- Spin magnetization: 0.00 μB/f.u.
- Theoretical density: 4.4 g cm⁻³

```
4
Lattice="-3.3893 -3.6083 -0.8119 -0.8398 -3.4875 3.5069 -4.3199 -0.0034 2.5503" Properties=species:S:1:pos:R:3 pbc="T T T"
Rb -4.2745 -3.5496 2.6227
Sc -2.1372 -1.7748 1.3113
Ni 0.0000 0.0000 0.0000
Sc -6.4117 -5.3244 3.9340
```

***

Below is an optimized crystal structure of RbSc2Ni, with properties calculated at the GGA-PBE level.

Calculated values
- ΔE to the lowest computed polymorph: 641 meV per atom
- Formation enthalpy at 0 K: 0.7814 eV/atom
- Spin magnetization: 0.00 μB/f.u.
- Theoretical density: 3.6 g cm⁻³

```
4
Lattice="1.8879 0.0000 11.5412 -0.9440 1.6350 11.5412 -0.9440 -1.6350 11.5412" Properties=species:S:1:pos:R:3 pbc="T T T"
Sc 0.0000 0.0000 2.3337
Ni 0.0000 0.0000 0.0000
Sc 0.0000 0.0000 32.2899
Rb 0.0000 0.0000 17.3118
```

***

Below is an optimized crystal structure of Rb2ScTaNi, with properties calculated at the GGA-PBE level.

Calculated values
- Formation enthalpy at 0 K: 1.8315 eV/atom
- Spin magnetization: 3.85 μB/f.u.
- Theoretical density: 3.7 g cm⁻³

```
5
Lattice="-5.1275 -2.4950 -3.8476 -1.0027 -2.7938 3.1479 -4.2997 4.6223 2.7327" Properties=species:S:1:pos:R:3 pbc="T T T"
Rb -2.5638 -1.2475 -1.9238
Ta -5.2149 -0.3332 1.0165
Ni -0.5014 -1.3969 1.5739
Rb -2.1498 2.3111 1.3664
Sc 0.0000 0.0000 0.0000
```